Record 1
Below is a relaxed structure of DyCu3Te3, with properties calculated at the PBE level.

Cell: 8.2270 8.2270 8.2270 Å, 53.83 53.83 53.83°
Last column: nearest neighbours and their distance in Å.
Element x y z (fractional)
Dy 0.8375 0.8375 0.8375  6 Te 3.07-3.10, 3 Cu 3.41
Dy 0.1625 0.1625 0.1625  6 Te 3.07-3.10, 3 Cu 3.41
Cu 0.2530 0.9771 0.6480  4 Te 2.59-2.77, 2 Cu 2.83
Cu 0.6480 0.2530 0.9771  4 Te 2.59-2.77, 2 Cu 2.83
Cu 0.9771 0.6480 0.2530  4 Te 2.59-2.77, 2 Cu 2.83
Cu 0.0229 0.3520 0.7470  4 Te 2.59-2.77, 2 Cu 2.83
Cu 0.3520 0.7470 0.0229  4 Te 2.59-2.77, 2 Cu 2.83
Cu 0.7470 0.0229 0.3520  4 Te 2.59-2.77, 2 Cu 2.83
Te 0.0999 0.7287 0.4258  4 Cu 2.59-2.77
Te 0.7287 0.4258 0.0999  4 Cu 2.59-2.77
Te 0.4258 0.0999 0.7287  4 Cu 2.59-2.77
Te 0.5742 0.9001 0.2713  4 Cu 2.59-2.77
Te 0.2713 0.5742 0.9001  4 Cu 2.59-2.77
Te 0.9001 0.2713 0.5742  4 Cu 2.59-2.77

Record 2
Below is a relaxed structure of NaFeSb3, with properties calculated at the PBE level.

Cell: 5.2686 5.2686 5.2686 Å, 90.00 90.00 90.00°
Last column: nearest neighbours and their distance in Å.
Element x y z (fractional)
Sb 0.0000 0.5000 0.0000  2 Na 2.63
Sb 0.0000 0.0000 0.5000  2 Na 2.63
Sb 0.5000 0.0000 0.0000  2 Na 2.63
Fe 0.5000 0.5000 0.5000  12 Sb 3.73
Na 0.0000 0.0000 0.0000  6 Sb 2.63

Results
**Density of states at the Fermi level**: 10.79 states/eV per cell

| no. | E_form (uncorrected) (meV/atom) |
| --- | --- |
| 1 | -505 |
| 2 | 1560 |